[1]
An optimized crystal structure of Rb2PbSe2O6. Source: Alexandria via LeMat-Bulk, functional PBE.

Calculated values
density of states at the Fermi level = 0.000 states/eV/atom
total energy = -5.08 eV per atom

a b c (Å): 10.0832 6.2626 7.8228
angles (deg): 90.00 114.45 90.00
Space group C2/m (No. 12)
Symmetry-distinct sites (fractional):
Rb (0.2033, 0.0000, 0.1635) [4 per cell]
Pb (0.0000, 0.0000, 0.5000) [2 per cell]
Se (0.0775, 0.5000, 0.2336) [4 per cell]
O (0.0259, 0.2793, 0.7600) [8 per cell]
O (0.2274, 0.5000, 0.4432) [4 per cell]

=====

[2]
An optimized crystal structure of RbPb2Se2O6. Source: Alexandria via LeMat-Bulk, functional PBE.

Calculated values
density of states at the Fermi level = 0.329 states/eV/atom
total energy = -5.10 eV per atom

a b c (Å): 5.6672 6.9966 7.0065
angles (deg): 70.50 66.70 90.00
Space group P-1 (No. 2)
Symmetry-distinct sites (fractional):
Rb (0.0000, 0.0000, 0.0000) [1 per cell]
Pb (0.3519, 0.4413, 0.2908) [2 per cell]
Se (0.2701, 0.8678, 0.4608) [2 per cell]
O (0.0674, 0.7312, 0.3992) [2 per cell]
O (0.3758, 0.0960, 0.2379) [2 per cell]
O (0.4648, 0.2659, 0.6030) [2 per cell]

=====

[3]
An optimized crystal structure of Rb2Pb2Se2O. Source: Alexandria via LeMat-Bulk, functional PBE.

Calculated values
total energy = -3.94 eV per atom

a b c (Å): 13.7511 4.2528 9.8543
angles (deg): 90.00 126.05 90.00
Space group C2/m (No. 12)
Symmetry-distinct sites (fractional):
Rb (0.0507, 0.0000, 0.3163) [4 per cell]
Pb (0.1891, 0.5000, 0.0910) [4 per cell]
Se (0.1954, 0.5000, 0.6692) [4 per cell]
O (0.0000, 0.5000, 0.0000) [2 per cell]

=====

| no. | M_tot (μB per formula unit) |
| --- | --- |
| 1 | 0.00 |
| 2 | 0.00 |
| 3 | 0.00 |